CoH12Cl2O6 | GGA-PBEsol | relaxed

Cell lengths 6.1011, 6.1011, 6.4730 Å; angles 62.17, 62.17, 65.90 degrees
Last column: magnetic moment on the atom in μB.
Fractional coordinates of all 21 atoms:
1 H 0.1772 0.1772 0.4660  0.00
2 H 0.8228 0.8228 0.5340  0.00
3 H 0.7376 0.7376 0.8342  0.00
4 H 0.2624 0.2624 0.1658  0.00
5 H 0.4250 0.8061 0.7281  0.00
6 H 0.8061 0.4250 0.7281  0.00
7 H 0.5750 0.1939 0.2719  0.00
8 H 0.1939 0.5750 0.2719  0.00
9 H 0.6724 0.2145 0.7867  0.00
10 H 0.2145 0.6724 0.7867  0.00
11 H 0.3276 0.7855 0.2133  0.00
12 H 0.7855 0.3276 0.2133  0.00
13 Co 0.0000 0.0000 0.0000  0.74
14 O 0.2805 0.2805 0.3035  0.00
15 O 0.7195 0.7195 0.6965  0.00
16 O 0.2373 0.8406 0.7534  0.00
17 O 0.8406 0.2373 0.7534  0.00
18 O 0.7627 0.1594 0.2466  0.00
19 O 0.1594 0.7627 0.2466  0.00
20 Cl 0.2836 0.2836 0.8384  0.04
21 Cl 0.7164 0.7164 0.1616  0.04

Summary:
magnetization = 0.85 μB/f.u.
symmetry = C2/m, No. 12
E = -4.9125 eV/atom